Computed, not measured: an optimized crystal structure of Sr5Mg2Pb5 at the PBE level of DFT.

## Properties
The energy of formation from the pure elements comes out at -44.8 kJ/mol of atoms. As for the raw total energy: -2.98 eV/atom. Its symmetry is No. 12. The calculation puts the density of states at the Fermi level at 5.73 states/eV per cell.

Unit cell a=5.0420 b=9.5769 c=9.5880 alpha=69.12 beta=74.76 gamma=74.74
Element x y z (fractional)
Pb 0.0006 0.3015 0.6973
Pb 0.0000 0.0000 0.0000
Pb 0.2378 0.7619 0.7626
Pb 0.9994 0.6985 0.3027
Pb 0.7622 0.2381 0.2374
Mg 0.8446 0.6542 0.6565
Mg 0.1554 0.3458 0.3435
Sr 0.6428 0.0503 0.6641
Sr 0.5000 0.5000 0.5000
Sr 0.6419 0.6649 0.0512
Sr 0.3581 0.3351 0.9488
Sr 0.3572 0.9497 0.3359

Computed, not measured: an optimized crystal structure of ZrCdPCl2 at the PBE level of DFT.

## Properties
As for the raw total energy: -3.47 eV/atom. Its symmetry is No. 123. The calculation puts the density of states at the Fermi level at 3.31 states/eV per cell. As for the raw formation energy: 238 meV/atom.

Unit cell a=4.8519 b=4.8519 c=5.4524 alpha=90.00 beta=90.00 gamma=90.00
Element x y z (fractional)
Cl 0.5000 0.0000 0.0000
Cl 0.0000 0.5000 0.0000
Cd 0.0000 0.0000 0.0000
Zr 0.5000 0.5000 0.5000
P 0.0000 0.0000 0.5000

Computed, not measured: an optimized crystal structure of CaZrRh at the PBE level of DFT.

## Properties
The energy of formation from the pure elements comes out at -31.6 kJ/mol of atoms. As for the raw total energy: -6.29 eV/atom. Its symmetry is No. 107. The calculation puts the density of states at the Fermi level at 3.94 states/eV per cell.

Unit cell a=6.6159 b=6.6161 c=3.3966 alpha=75.12 beta=75.12 gamma=29.75
Element x y z (fractional)
Rh 0.3109 0.3108 0.6891
Ca 0.9799 0.9799 0.0201
Zr 0.7092 0.7092 0.2908

Computed, not measured: an optimized crystal structure of Y3CuIr2 at the PBE level of DFT.

## Properties
The energy of formation from the pure elements comes out at -62.9 kJ/mol of atoms. As for the raw total energy: -7.52 eV/atom. Its symmetry is No. 62. The calculation puts the density of states at the Fermi level at 10.37 states/eV per cell.

Unit cell a=4.1640 b=11.1177 c=11.3571 alpha=90.00 beta=90.00 gamma=90.00
Element x y z (fractional)
Y 0.2500 0.3774 0.0483
Y 0.2500 0.1226 0.5483
Y 0.7500 0.6226 0.9517
Y 0.2500 0.8141 0.7051
Y 0.7500 0.3141 0.7949
Y 0.2500 0.4341 0.3799
Y 0.7500 0.9341 0.1201
Y 0.7500 0.8774 0.4517
Y 0.2500 0.0659 0.8799
Y 0.7500 0.1859 0.2949
Y 0.2500 0.6859 0.2051
Y 0.7500 0.5659 0.6201
Cu 0.2500 0.1241 0.1287
Cu 0.7500 0.6241 0.3713
Cu 0.7500 0.8759 0.8713
Cu 0.2500 0.3759 0.6287
Ir 0.7500 0.1889 0.0162
Ir 0.7500 0.3111 0.5162
Ir 0.2500 0.9976 0.3152
Ir 0.7500 0.0024 0.6848
Ir 0.2500 0.8111 0.9838
Ir 0.2500 0.5024 0.8152
Ir 0.2500 0.6889 0.4838
Ir 0.7500 0.4976 0.1848

Computed, not measured: an optimized crystal structure of ErSc2UP4 at the PBE level of DFT.

## Properties
The energy of formation from the pure elements comes out at -133.9 kJ/mol of atoms. As for the raw total energy: -7.66 eV/atom. Its symmetry is No. 10. The calculation puts the density of states at the Fermi level at 6.30 states/eV per cell.

Unit cell a=3.8498 b=6.6452 c=6.6873 alpha=70.65 beta=90.00 gamma=90.00
Element x y z (fractional)
U 0.5000 0.5000 0.0000
P 0.5000 0.2402 0.7575
P 0.5000 0.7598 0.2425
P 0.0000 0.7608 0.7481
P 0.0000 0.2392 0.2519
Er 0.0000 0.5000 0.5000
Sc 0.0000 0.0000 0.0000
Sc 0.5000 0.0000 0.5000

Computed, not measured: an optimized crystal structure of Cr2FeAg at the PBE level of DFT.

## Properties
The energy of formation from the pure elements comes out at 41.5 kJ/mol of atoms. As for the raw total energy: -7.21 eV/atom. Its symmetry is No. 123. The calculation puts the density of states at the Fermi level at 4.24 states/eV per cell.

Unit cell a=2.5794 b=2.5794 c=7.7077 alpha=90.00 beta=90.00 gamma=90.00
Element x y z (fractional)
Cr 0.0000 0.0000 0.0382
Cr 0.0000 0.0000 0.4618
Fe 0.5000 0.5000 0.2500
Ag 0.5000 0.5000 0.7500

Computed, not measured: an optimized crystal structure of Mg3Ru2 at the PBE level of DFT.

## Properties
The energy of formation from the pure elements comes out at 18.8 kJ/mol of atoms. As for the raw total energy: -4.47 eV/atom. Its symmetry is No. 164. The calculation puts the density of states at the Fermi level at 5.61 states/eV per cell.

Unit cell a=4.5205 b=4.5205 c=5.3305 alpha=90.00 beta=90.00 gamma=120.00
Element x y z (fractional)
Mg 0.6667 0.3333 0.6116
Mg 0.0000 0.0000 0.0000
Mg 0.3333 0.6667 0.3884
Ru 0.3333 0.6667 0.9128
Ru 0.6667 0.3333 0.0872

Computed, not measured: an optimized crystal structure of Na2ZnPb at the PBE level of DFT.

## Properties
The energy of formation from the pure elements comes out at 4.2 kJ/mol of atoms. As for the raw total energy: -1.86 eV/atom. Its symmetry is No. 160. The calculation puts the density of states at the Fermi level at 2.06 states/eV per cell.

Unit cell a=3.4923 b=3.4923 c=10.5580 alpha=80.48 beta=80.48 gamma=60.00
Element x y z (fractional)
Pb 0.4999 0.4999 0.5004
Na 0.0783 0.0783 0.7651
Na 0.2550 0.2550 0.2350
Zn 0.6668 0.6668 0.9995